# 1
RbLiIn2Au: relaxed, GGA-PBE.

Lattice parameters (Å, degrees): 5.420 5.420 5.410 90.00 90.00 90.00
Sites, in units of the cell vectors:
Rb1 0.000 0.000 0.000
Li1 0.500 0.500 0.000
In1 0.000 0.500 0.500
In2 0.500 0.000 0.500
Au1 0.500 0.500 0.500

Values from the calculation:
**DFT formation energy**: -0.114 eV/atom
**Space group**: P4/mmm

# 2
LiIn2AuS4: relaxed, GGA-PBE.

Lattice parameters (Å, degrees): 7.165 7.164 5.685 66.63 66.62 46.74
Sites, in units of the cell vectors:
Li1 0.000 0.000 0.000
In1 0.250 0.250 0.250
In2 0.750 0.750 0.750
Au1 0.498 0.498 0.502
S1 0.118 0.634 0.366
S2 0.366 0.880 0.634
S3 0.634 0.118 0.882
S4 0.880 0.366 0.120

Values from the calculation:
**Uncorrected formation energy**: -0.61 eV/atom
**Space group**: Fmm2

# 3
LiInSb2Au4: relaxed, GGA-PBE.

Lattice parameters (Å, degrees): 8.107 8.107 8.107 131.02 111.42 88.77
Sites, in units of the cell vectors:
Li1 0.000 0.000 0.000
Li2 0.500 0.000 0.500
In1 0.500 0.000 0.000
In2 0.500 0.500 0.500
Sb1 0.000 0.000 0.500
Sb2 0.000 0.500 0.000
Sb3 0.000 0.500 0.500
Sb4 0.500 0.500 0.000
Au1 0.248 0.222 0.474
Au2 0.248 0.745 0.503
Au3 0.248 0.774 0.026
Au4 0.258 0.255 0.003
Au5 0.742 0.745 0.997
Au6 0.752 0.226 0.974
Au7 0.752 0.255 0.497
Au8 0.752 0.778 0.526

Values from the calculation:
**Uncorrected formation energy**: -0.12 eV/atom
**Space group**: Imma

# 4
LiIn2AuSe4: relaxed, GGA-PBE.

Lattice parameters (Å, degrees): 7.504 7.504 7.504 133.13 133.13 68.45
Sites, in units of the cell vectors:
Li1 0.000 0.000 0.000
In1 0.250 0.750 0.500
In2 0.750 0.250 0.500
Au1 0.500 0.500 0.000
Se1 0.122 0.122 0.487
Se2 0.365 0.878 0.000
Se3 0.635 0.635 0.513
Se4 0.878 0.365 0.000

Values from the calculation:
**Uncorrected formation energy**: -0.58 eV/atom
**Space group**: I-42m

# 5
LiSmInAu: relaxed, GGA-PBE.

Lattice parameters (Å, degrees): 4.918 4.918 4.918 60.00 60.00 60.00
Sites, in units of the cell vectors:
Li1 0.000 0.000 0.000
Sm1 0.750 0.750 0.750
In1 0.250 0.250 0.250
Au1 0.500 0.500 0.500

Values from the calculation:
**DFT formation energy**: -0.621 eV/atom
**Space group**: F-43m

# 6
Li2SmInAu2: relaxed, GGA-PBE.

Lattice parameters (Å, degrees): 4.581 4.581 6.634 90.00 90.00 120.00
Sites, in units of the cell vectors:
Li1 0.333 0.667 0.176
Li2 0.667 0.333 0.824
Sm1 0.000 0.000 0.500
In1 0.000 0.000 0.000
Au1 0.333 0.667 0.759
Au2 0.667 0.333 0.241

Values from the calculation:
**DFT formation energy**: -0.575 eV/atom
**Space group**: P-3m1

# 7
Li2InSnAu4: relaxed, GGA-PBE.

Lattice parameters (Å, degrees): 8.190 8.190 8.190 33.26 33.26 33.26
Sites, in units of the cell vectors:
Li1 0.250 0.250 0.250
Li2 0.750 0.750 0.750
In1 0.000 0.000 0.000
Sn1 0.500 0.500 0.500
Au1 0.124 0.124 0.124
Au2 0.374 0.374 0.374
Au3 0.626 0.626 0.626
Au4 0.876 0.876 0.876

Values from the calculation:
**DFT formation energy**: -0.395 eV/atom
**Space group**: R-3m

# 8
LiInSnAu: relaxed, GGA-PBE.

Lattice parameters (Å, degrees): 4.917 4.917 4.917 60.00 60.00 60.00
Sites, in units of the cell vectors:
Li1 0.000 0.000 0.000
In1 0.750 0.750 0.750
Sn1 0.250 0.250 0.250
Au1 0.500 0.500 0.500

Values from the calculation:
**DFT formation energy**: -0.213 eV/atom
**Space group**: F-43m

# 9
Li3In2Sn2Au4: relaxed, GGA-PBE.

Lattice parameters (Å, degrees): 4.786 4.786 11.679 90.00 90.00 120.00
Sites, in units of the cell vectors:
Li1 0.000 0.000 0.000
Li2 0.000 0.000 0.263
Li3 0.000 0.000 0.737
In1 0.333 0.667 0.119
In2 0.667 0.333 0.881
Sn1 0.333 0.667 0.615
Sn2 0.667 0.333 0.385
Au1 0.333 0.667 0.366
Au2 0.333 0.667 0.870
Au3 0.667 0.333 0.130
Au4 0.667 0.333 0.634

Values from the calculation:
**DFT formation energy**: -0.375 eV/atom
**Space group**: P-3m1

# 10
Sr2LiIn3Au4: relaxed, GGA-PBE.

Lattice parameters (Å, degrees): 4.633 4.633 11.695 90.00 90.00 90.00
Sites, in units of the cell vectors:
Sr1 0.000 0.500 0.247
Sr2 0.500 0.000 0.753
Li1 0.000 0.000 0.500
In1 0.000 0.500 0.867
In2 0.500 0.000 0.133
In3 0.500 0.500 0.500
Au1 0.000 0.000 0.000
Au2 0.000 0.500 0.633
Au3 0.500 0.000 0.367
Au4 0.500 0.500 0.000

Values from the calculation:
**DFT formation energy**: -0.537 eV/atom
**Space group**: P-4m2

# 11
SrLi2InAu2: relaxed, GGA-PBE.

Lattice parameters (Å, degrees): 4.626 4.626 7.098 90.00 90.00 120.00
Sites, in units of the cell vectors:
Sr1 0.000 0.000 0.000
Li1 0.333 0.667 0.674
Li2 0.667 0.333 0.326
In1 0.000 0.000 0.500
Au1 0.333 0.667 0.291
Au2 0.667 0.333 0.709

Values from the calculation:
**DFT formation energy**: -0.558 eV/atom
**Space group**: P-3m1

# 12
SrLi2InAu4: relaxed, GGA-PBE.

Lattice parameters (Å, degrees): 9.676 9.676 9.676 27.60 27.60 27.60
Sites, in units of the cell vectors:
Sr1 0.000 0.000 0.000
Li1 0.235 0.235 0.235
Li2 0.765 0.765 0.765
In1 0.500 0.500 0.500
Au1 0.121 0.121 0.121
Au2 0.400 0.400 0.400
Au3 0.600 0.600 0.600
Au4 0.879 0.879 0.879

Values from the calculation:
**DFT formation energy**: -0.509 eV/atom
**Space group**: R-3m

What are the theoretical density values for these records? In order: 5.4; 4.9; 10.8; 5.6; 9.3; 9.3; 11.7; 8.6; 9.1; 8.7; 7.7; 9.7 Mg/m³.
What are the spin magnetization values for these records? In order: 0.00; 0.00; 0.00; 0.00; 0.00; 0.00; 0.00; 0.00; 0.00; 0.00; 0.00; 0.00 Bohr magnetons per cell.